Here is crystalline Mg2ReOs at its relaxed geometry from Alexandria. Energies are from PBE.

Lattice parameters (Å, degrees): 9.3570 9.3570 9.3570 17.27 17.27 17.27
With the nearest neighbours (Å) after each atom.
Fractional coordinates of all 4 atoms:
Mg: 0.2482 0.2482 0.2482  3 Os 2.78, 6 Mg 2.81, 3 Re 2.86
Mg: 0.7518 0.7518 0.7518  3 Os 2.78, 6 Mg 2.81, 3 Re 2.86
Re: 0.0000 0.0000 0.0000  6 Re 2.81, 6 Mg 2.86
Os: 0.5000 0.5000 0.5000  6 Mg 2.78, 6 Os 2.81

Output
The calculation puts the uncorrected energy at -6.41 eV/atom. Its energy above the most stable polymorph in this dataset is 0.2479 eV per atom. As for the space group: No. 166. Its volume is 15.75 A^3/atom. The formation enthalpy at 0 K is 306 meV/atom.